[1]
This record from Alexandria describes a relaxed structure of Y2FeRu2. The functional is GGA-PBE.

Cell: 6.6439 6.6439 4.4458 Å, 90.00 90.00 90.00°
Closest atoms and distances in Å follow each position.
Fractional positions:
Y: 0.6790 0.8210 0.5000  6 Ru 2.84-3.06
Y: 0.1790 0.6790 0.5000  6 Ru 2.84-3.06
Y: 0.3210 0.1790 0.5000  6 Ru 2.84-3.06
Y: 0.8210 0.3210 0.5000  6 Ru 2.84-3.06
Ru: 0.3664 0.8664 0.0000  1 Ru 2.51, 2 Fe 2.59
Ru: 0.6336 0.1336 0.0000  1 Ru 2.51, 2 Fe 2.59
Ru: 0.8664 0.6336 0.0000  1 Ru 2.51, 2 Fe 2.59
Ru: 0.1336 0.3664 0.0000  1 Ru 2.51, 2 Fe 2.59
Fe: 0.0000 0.0000 0.0000  4 Ru 2.59
Fe: 0.5000 0.5000 0.0000  4 Ru 2.59

Properties
energy relative to the elements = -0.124 eV per atom
SG = P4/mbm (127)
calculated density = 7.38 g/cm³



[2]
This record from Alexandria describes a relaxed structure of CaLaPmTh. The functional is GGA-PBE.

Cell: 3.6780 3.6780 10.6997 Å, 90.00 90.00 90.00°
Closest atoms and distances in Å follow each position.
Fractional positions:
La: 0.5000 0.5000 0.3480  4 Th 3.55, 4 La 3.68
Th: 0.0000 0.0000 0.5737  4 Pm 3.53, 4 La 3.55, 4 Th 3.68
Pm: 0.5000 0.5000 0.7972  4 Th 3.53, 4 Pm 3.68, 4 Ca 3.88
Ca: 0.0000 0.0000 0.0658  4 Ca 3.68, 4 Pm 3.88, 4 La 3.99

Properties
energy relative to the elements = 0.029 eV per atom
offset from the most stable computed form = 0.000 eV/atom
SG = P4mm (99)
calculated density = 6.38 g/cm³



[3]
This record from Alexandria describes a relaxed structure of SrMnBe4. The functional is GGA-PBE.

Cell: 4.8273 4.8273 4.8273 Å, 60.00 60.00 60.00°
Closest atoms and distances in Å follow each position.
Fractional positions:
Be: 0.8550 0.3817 0.3817  6 Be 2.28-2.54
Be: 0.3817 0.3817 0.8550  6 Be 2.28-2.54
Be: 0.3817 0.8550 0.3817  6 Be 2.28-2.54
Be: 0.3817 0.3817 0.3817  6 Be 2.28-2.54
Mn: 0.7500 0.7500 0.7500  12 Be 2.82, 4 Sr 2.96
Sr: 0.0000 0.0000 0.0000  12 Be 2.85, 4 Mn 2.96

Properties
energy relative to the elements = 0.381 eV per atom
SG = F-43m (216)
calculated density = 3.73 g/cm³



[4]
This record from Alexandria describes a relaxed structure of NbGaNiOs. The functional is GGA-PBE.

Cell: 4.3610 4.3610 4.3610 Å, 60.00 60.00 60.00°
Closest atoms and distances in Å follow each position.
Fractional positions:
Os: 0.7500 0.7500 0.7500  4 Nb 2.67, 4 Ga 2.67
Ni: 0.2500 0.2500 0.2500  4 Nb 2.67, 4 Ga 2.67
Nb: 0.0000 0.0000 0.0000  4 Os 2.67, 4 Ni 2.67
Ga: 0.5000 0.5000 0.5000  4 Os 2.67, 4 Ni 2.67

Properties
energy relative to the elements = -0.206 eV per atom
offset from the most stable computed form = 0.046 eV/atom
SG = F-43m (216)
calculated density = 11.65 g/cm³



[5]
This record from Alexandria describes a relaxed structure of Y8AlTl2. The functional is GGA-PBE.

Cell: 5.5461 8.6269 8.6269 Å, 118.19 102.09 102.09°
Closest atoms and distances in Å follow each position.
Fractional positions:
Tl: 0.0000 0.3039 0.6961  8 Y 3.09-3.30
Tl: 0.0000 0.6961 0.3039  8 Y 3.09-3.30
Y: 0.8895 0.6744 0.9030  2 Tl 3.11-3.29, 4 Y 3.38-3.45
Y: 0.8895 0.9030 0.6744  2 Tl 3.11-3.29, 4 Y 3.38-3.45
Y: 0.1105 0.3256 0.0970  2 Tl 3.11-3.29, 4 Y 3.38-3.45
Y: 0.6960 0.3887 0.3887  4 Y 3.14-3.48, 1 Al 3.16, 2 Tl 3.30
Y: 0.5000 0.2119 0.7881  2 Tl 3.09, 1 Al 3.14, 2 Y 3.45
Y: 0.1105 0.0970 0.3256  2 Tl 3.11-3.29, 4 Y 3.38-3.45
Y: 0.5000 0.7881 0.2119  2 Tl 3.09, 1 Al 3.14, 2 Y 3.45
Y: 0.3040 0.6113 0.6113  4 Y 3.14-3.48, 1 Al 3.16, 2 Tl 3.30
Al: 0.5000 0.0000 0.0000  4 Y 3.14-3.16

Properties
energy relative to the elements = -0.092 eV per atom
SG = C2/m (12)
calculated density = 5.73 g/cm³



[6]
This record from Alexandria describes a relaxed structure of TlAg2O. The functional is GGA-PBE.

Cell: 5.4815 5.4815 7.5556 Å, 68.73 68.73 90.00°
Closest atoms and distances in Å follow each position.
Fractional positions:
O: 0.5000 0.5000 0.0000  4 Ag 2.15
O: 0.2500 0.7500 0.5000  4 Ag 2.15
Ag: 0.3750 0.5578 0.7500  2 O 2.15
Ag: 0.4422 0.1250 0.2500  2 O 2.15
Ag: 0.8750 0.6922 0.7500  2 O 2.15
Ag: 0.3078 0.6250 0.2500  2 O 2.15
Tl: 0.7500 0.2500 0.5000  4 Ag 3.18
Tl: 0.0000 0.0000 0.0000  4 Ag 3.18

Properties
offset from the most stable computed form = 0.000 eV/atom
SG = I-42d (122)
energy relative to the elements, uncorrected = 61 meV per atom
calculated density = 7.43 g/cm³



[7]
This record from Alexandria describes a relaxed structure of AcNd2Al2Ga2. The functional is GGA-PBE.

Cell: 4.3752 4.3752 11.8457 Å, 79.36 79.36 60.00°
Closest atoms and distances in Å follow each position.
Fractional positions:
Ga: 0.2578 0.2578 0.2265  3 Al 2.55
Ga: 0.7422 0.7422 0.7735  3 Al 2.55
Nd: 0.8725 0.8725 0.3825  3 Ga 3.10, 3 Al 3.31
Nd: 0.1275 0.1275 0.6175  3 Ga 3.10, 3 Al 3.31
Ac: 0.0000 0.0000 0.0000  6 Al 3.41, 6 Ga 3.64
Al: 0.3993 0.3993 0.8022  3 Ga 2.55
Al: 0.6007 0.6007 0.1978  3 Ga 2.55

Properties
energy relative to the elements = -0.404 eV per atom
SG = R-3m (166)
calculated density = 6.14 g/cm³



[8]
This record from Alexandria describes a relaxed structure of DyHoZnCo. The functional is GGA-PBE.

Cell: 3.8279 4.2356 5.5975 Å, 90.00 109.99 90.00°
Closest atoms and distances in Å follow each position.
Fractional positions:
Zn: 0.5661 0.5000 0.1322  2 Co 2.53
Co: 0.4342 0.0000 0.8683  2 Zn 2.53
Ho: 0.8591 0.5000 0.7183  3 Zn 2.90-3.08, 4 Co 2.96
Dy: 0.1406 0.0000 0.2812  3 Co 2.89-3.09, 4 Zn 2.96

Properties
energy relative to the elements = -0.243 eV per atom
offset from the most stable computed form = 0.000 eV/atom
SG = Amm2 (38)
calculated density = 8.80 g/cm³



[9]
This record from Alexandria describes a relaxed structure of Sr2AsPtAu. The functional is GGA-PBE.

Cell: 5.8925 5.8925 4.7251 Å, 90.00 90.00 90.00°
Closest atoms and distances in Å follow each position.
Fractional positions:
Au: 0.0000 0.0000 0.5000  2 As 2.36
Sr: 0.5000 0.0000 0.0000  2 As 2.95
Sr: 0.0000 0.5000 0.0000  2 As 2.95
As: 0.0000 0.0000 0.0000  2 Au 2.36
Pt: 0.5000 0.5000 0.5000  8 Sr 3.78, 4 Au 4.17

Properties
energy relative to the elements = -0.315 eV per atom
SG = P4/mmm (123)
calculated density = 6.50 g/cm³



[10]
This record from Alexandria describes a relaxed structure of Ho5In2Ir2Pd. The functional is GGA-PBE.

Cell: 3.6026 11.6000 11.6000 Å, 90.00 90.00 90.00°
Closest atoms and distances in Å follow each position.
Fractional positions:
Ho: 0.5000 0.0718 0.8018  2 Ir 2.74, 2 Pd 3.04
Ho: 0.5000 0.6982 0.4282  2 Ir 2.74, 2 Pd 3.04
Ho: 0.5000 0.4282 0.3018  2 Ir 2.74, 2 Pd 3.04
Ho: 0.5000 0.5000 0.0000  4 Ir 2.86
Ho: 0.5000 0.9282 0.1982  2 Ir 2.74, 2 Pd 3.04
Ho: 0.5000 0.3018 0.5718  2 Ir 2.74, 2 Pd 3.04
Ho: 0.5000 0.8018 0.9282  2 Ir 2.74, 2 Pd 3.04
Ho: 0.5000 0.0000 0.5000  4 Ir 2.86
Ho: 0.5000 0.1982 0.0718  2 Ir 2.74, 2 Pd 3.04
Ho: 0.5000 0.5718 0.6982  2 Ir 2.74, 2 Pd 3.04
Pd: 0.0000 0.5000 0.5000  8 Ho 3.04
Pd: 0.0000 0.0000 0.0000  8 Ho 3.04
Ir: 0.0000 0.6354 0.8646  6 Ho 2.74-2.86
Ir: 0.0000 0.1354 0.6354  6 Ho 2.74-2.86
Ir: 0.0000 0.8646 0.3646  6 Ho 2.74-2.86
Ir: 0.0000 0.3646 0.1354  6 Ho 2.74-2.86
In: 0.0000 0.6751 0.1751  1 Ir 3.11, 6 Ho 3.39-3.45
In: 0.0000 0.8249 0.6751  1 Ir 3.11, 6 Ho 3.39-3.45
In: 0.0000 0.3249 0.8249  1 Ir 3.11, 6 Ho 3.39-3.45
In: 0.0000 0.1751 0.3249  1 Ir 3.11, 6 Ho 3.39-3.45

Properties
energy relative to the elements = -0.685 eV per atom
SG = P4/mbm (127)
calculated density = 10.59 g/cm³



[11]
This record from Alexandria describes a relaxed structure of Tb4TmS5. The functional is GGA-PBE.

Cell: 3.9115 5.5232 10.3524 Å, 105.47 100.89 90.00°
Closest atoms and distances in Å follow each position.
Fractional positions:
Tb: 0.6003 0.6003 0.2007  6 S 2.76-2.77
Tb: 0.1991 0.1991 0.3981  6 S 2.76-2.79
Tb: 0.3997 0.3997 0.7993  6 S 2.76-2.77
Tb: 0.8009 0.8009 0.6019  6 S 2.76-2.79
S: 0.7995 0.2995 0.5990  6 Tb 2.76-2.77
S: 0.2005 0.7005 0.4010  6 Tb 2.76-2.77
S: 0.0000 0.5000 0.0000  2 Tm 2.76, 4 Tb 2.77
S: 0.5972 0.0972 0.1943  2 Tm 2.73, 4 Tb 2.76-2.79
S: 0.4028 0.9028 0.8057  2 Tm 2.73, 4 Tb 2.76-2.79
Tm: 0.0000 0.0000 0.0000  6 S 2.73-2.76

Properties
SG = Immm (71)
energy relative to the elements, uncorrected = -1989 meV per atom
calculated density = 7.58 g/cm³



[12]
This record from Alexandria describes a relaxed structure of ZnCoCu6. The functional is GGA-PBE.

Cell: 6.7804 6.7804 4.6460 Å, 43.14 43.14 60.00°
Closest atoms and distances in Å follow each position.
Fractional positions:
Zn: 0.0000 0.0000 0.0000  12 Cu 2.53-2.69
Cu: 0.5337 0.2528 0.2448  4 Cu 2.34-2.57, 1 Co 2.53, 1 Zn 2.53
Cu: 0.7472 0.0314 0.7552  4 Cu 2.34-2.57, 1 Co 2.53, 1 Zn 2.53
Cu: 0.9686 0.5337 0.2448  4 Cu 2.34-2.57, 1 Co 2.53, 1 Zn 2.53
Cu: 0.2528 0.9686 0.2448  4 Cu 2.34-2.57, 1 Co 2.53, 1 Zn 2.53
Cu: 0.0314 0.4663 0.7552  4 Cu 2.34-2.57, 1 Co 2.53, 1 Zn 2.53
Cu: 0.4663 0.7472 0.7552  4 Cu 2.34-2.57, 1 Co 2.53, 1 Zn 2.53
Co: 0.5000 0.5000 0.5000  12 Cu 2.53-2.67

Properties
energy relative to the elements = 0.142 eV per atom
SG = R-3 (148)
calculated density = 8.43 g/cm³